[1]
Material: Ho5Tl3Ag12
Method: DFT, GGA-PBE
State: optimized geometry

Results
Space group ... No. 230

abc: 14.4587 14.4587 14.4587
angles: 109.47 109.47 109.47
Element x y z (fractional)
Ho 0.0000 0.0000 0.0000
Ho 0.0000 0.0000 0.5000
Ho 0.0000 0.5000 0.0000
Ho 0.0000 0.5000 0.5000
Ho 0.1250 0.7500 0.8750
Ho 0.1250 0.8750 0.2500
Ho 0.2500 0.1250 0.8750
Ho 0.2500 0.6250 0.3750
Ho 0.3750 0.2500 0.6250
Ho 0.3750 0.6250 0.7500
Ho 0.5000 0.0000 0.0000
Ho 0.5000 0.0000 0.5000
Ho 0.5000 0.5000 0.0000
Ho 0.5000 0.5000 0.5000
Ho 0.6250 0.3750 0.2500
Ho 0.6250 0.7500 0.3750
Ho 0.7500 0.3750 0.6250
Ho 0.7500 0.8750 0.1250
Ho 0.8750 0.1250 0.7500
Ho 0.8750 0.2500 0.1250
Tl 0.1250 0.2500 0.3750
Tl 0.1250 0.3750 0.7500
Tl 0.2500 0.3750 0.1250
Tl 0.2500 0.8750 0.6250
Tl 0.3750 0.1250 0.2500
Tl 0.3750 0.7500 0.1250
Tl 0.6250 0.2500 0.8750
Tl 0.6250 0.8750 0.7500
Tl 0.7500 0.1250 0.3750
Tl 0.7500 0.6250 0.8750
Tl 0.8750 0.6250 0.2500
Tl 0.8750 0.7500 0.6250
Ag 0.0692 0.6450 0.4106
Ag 0.0692 0.9241 0.6586
Ag 0.0759 0.2344 0.1450
Ag 0.0759 0.3414 0.9308
Ag 0.0894 0.7344 0.6586
Ag 0.0894 0.8550 0.4308
Ag 0.1450 0.0759 0.2344
Ag 0.1450 0.5692 0.9106
Ag 0.1586 0.2344 0.5894
Ag 0.1586 0.4241 0.5692
Ag 0.2344 0.1450 0.0759
Ag 0.2344 0.5894 0.1586
Ag 0.2656 0.3414 0.9106
Ag 0.2656 0.4241 0.3550
Ag 0.3414 0.9106 0.2656
Ag 0.3414 0.9308 0.0759
Ag 0.3550 0.2656 0.4241
Ag 0.3550 0.5894 0.9308
Ag 0.4106 0.0692 0.6450
Ag 0.4106 0.8414 0.7656
Ag 0.4241 0.3550 0.2656
Ag 0.4241 0.5692 0.1586
Ag 0.4308 0.0894 0.8550
Ag 0.4308 0.8414 0.5759
Ag 0.5692 0.1586 0.4241
Ag 0.5692 0.9106 0.1450
Ag 0.5759 0.4308 0.8414
Ag 0.5759 0.6450 0.7344
Ag 0.5894 0.1586 0.2344
Ag 0.5894 0.9308 0.3550
Ag 0.6450 0.4106 0.0692
Ag 0.6450 0.7344 0.5759
Ag 0.6586 0.0692 0.9241
Ag 0.6586 0.0894 0.7344
Ag 0.7344 0.5759 0.6450
Ag 0.7344 0.6586 0.0894
Ag 0.7656 0.4106 0.8414
Ag 0.7656 0.8550 0.9241
Ag 0.8414 0.5759 0.4308
Ag 0.8414 0.7656 0.4106
Ag 0.8550 0.4308 0.0894
Ag 0.8550 0.9241 0.7656
Ag 0.9106 0.1450 0.5692
Ag 0.9106 0.2656 0.3414
Ag 0.9241 0.6586 0.0692
Ag 0.9241 0.7656 0.8550
Ag 0.9308 0.0759 0.3414
Ag 0.9308 0.3550 0.5894

=====

[2]
Material: Ho4TlAg2
Method: DFT, GGA-PBE
State: optimized geometry

Results
Offset from the most stable computed form ... 0 meV per atom
Space group ... No. 166

abc: 8.7181 8.7181 8.7181
angles: 34.34 34.34 34.34
Element x y z (fractional)
Ho 0.1151 0.1151 0.1151
Ho 0.3692 0.3692 0.3692
Ho 0.6308 0.6308 0.6308
Ho 0.8849 0.8849 0.8849
Tl 0.5000 0.5000 0.5000
Ag 0.2464 0.2464 0.2464
Ag 0.7536 0.7536 0.7536

=====

[3]
Material: Ho4Tl2Ag3
Method: DFT, GGA-PBE
State: optimized geometry

Results
Space group ... No. 12

abc: 5.5528 5.5528 9.2552
angles: 101.64 101.64 52.72
Element x y z (fractional)
Ho 0.0566 0.0566 0.3418
Ho 0.3600 0.3600 0.1037
Ho 0.6400 0.6400 0.8963
Ho 0.9434 0.9434 0.6582
Tl 0.2743 0.2743 0.7420
Tl 0.7257 0.7257 0.2580
Ag 0.0000 0.0000 0.0000
Ag 0.3641 0.3641 0.4314
Ag 0.6359 0.6359 0.5686

=====

[4]
Material: Ho4TlAg5
Method: DFT, GGA-PBE
State: optimized geometry

Results
Space group ... No. 123

abc: 3.6528 3.6528 17.6447
angles: 90.00 90.00 90.00
Element x y z (fractional)
Ho 0.0000 0.0000 0.1026
Ho 0.0000 0.0000 0.3065
Ho 0.0000 0.0000 0.6935
Ho 0.0000 0.0000 0.8974
Tl 0.0000 0.0000 0.5000
Ag 0.5000 0.5000 0.0000
Ag 0.5000 0.5000 0.2053
Ag 0.5000 0.5000 0.3983
Ag 0.5000 0.5000 0.6017
Ag 0.5000 0.5000 0.7947

=====

[5]
Material: Ho2Tl3Ag
Method: DFT, GGA-PBE
State: optimized geometry

Results
Space group ... No. 69

abc: 10.0696 9.3877 6.1179
angles: 77.86 65.70 36.44
Element x y z (fractional)
Ho 0.2500 0.2500 0.2500
Ho 0.2504 0.7496 0.7496
Ho 0.7496 0.2504 0.2504
Ho 0.7500 0.7500 0.7500
Tl 0.1713 0.1713 0.8287
Tl 0.1721 0.6553 0.3447
Tl 0.3447 0.8279 0.1721
Tl 0.6553 0.1721 0.8279
Tl 0.8279 0.3447 0.6553
Tl 0.8287 0.8287 0.1713
Ag 0.3326 0.3326 0.6674
Ag 0.6674 0.6674 0.3326

=====

[6]
Material: Ho6Tl3Ag
Method: DFT, GGA-PBE
State: optimized geometry

Results
Space group ... No. 11

abc: 9.3411 5.2913 11.6195
angles: 90.00 108.17 90.00
Element x y z (fractional)
Ho 0.0371 0.2500 0.4094
Ho 0.1675 0.7500 0.1753
Ho 0.2670 0.2500 0.0036
Ho 0.3507 0.7500 0.8173
Ho 0.3673 0.2500 0.3343
Ho 0.3992 0.2500 0.6273
Ho 0.6008 0.7500 0.3727
Ho 0.6327 0.7500 0.6657
Ho 0.6493 0.2500 0.1827
Ho 0.7330 0.7500 0.9964
Ho 0.8325 0.2500 0.8247
Ho 0.9629 0.7500 0.5906
Tl 0.0267 0.7500 0.8859
Tl 0.1239 0.2500 0.7164
Tl 0.2798 0.7500 0.4719
Tl 0.7202 0.2500 0.5281
Tl 0.8761 0.7500 0.2836
Tl 0.9733 0.2500 0.1141
Ag 0.4519 0.7500 0.1075
Ag 0.5481 0.2500 0.8925

=====

[7]
Material: Ho4Tl5Ag3
Method: DFT, GGA-PBE
State: optimized geometry

Results
Space group ... No. 12

abc: 5.9827 5.9827 11.6639
angles: 90.61 90.61 50.82
Element x y z (fractional)
Ho 0.1025 0.1025 0.3893
Ho 0.2640 0.2640 0.1290
Ho 0.7360 0.7360 0.8710
Ho 0.8975 0.8975 0.6107
Tl 0.0000 0.0000 0.0000
Tl 0.1663 0.1663 0.7213
Tl 0.3782 0.3782 0.4380
Tl 0.6218 0.6218 0.5620
Tl 0.8337 0.8337 0.2787
Ag 0.4372 0.4372 0.7682
Ag 0.5000 0.5000 0.0000
Ag 0.5628 0.5628 0.2318

=====

[8]
Material: Ho6Tl2Ag
Method: DFT, GGA-PBE
State: optimized geometry

Results
Space group ... No. 71

abc: 8.8290 8.8290 8.8290
angles: 146.52 131.40 60.30
Element x y z (fractional)
Ho 0.0818 0.3382 0.7436
Ho 0.2384 0.0000 0.2384
Ho 0.4055 0.6618 0.7436
Ho 0.5945 0.3382 0.2564
Ho 0.7616 0.0000 0.7616
Ho 0.9182 0.6618 0.2564
Tl 0.3329 0.8329 0.5000
Tl 0.6671 0.1671 0.5000
Ag 0.0000 0.5000 0.5000

=====

[9]
Material: Ho3TlAg
Method: DFT, GGA-PBE
State: optimized geometry

Results
Offset from the most stable computed form ... 0 meV per atom
Space group ... No. 63

abc: 10.6117 10.6117 5.1154
angles: 90.00 90.00 152.13
Element x y z (fractional)
Ho 0.0610 0.9390 0.7500
Ho 0.2498 0.7502 0.7500
Ho 0.4389 0.5611 0.7500
Ho 0.5611 0.4389 0.2500
Ho 0.7502 0.2498 0.2500
Ho 0.9390 0.0610 0.2500
Tl 0.1563 0.8437 0.2500
Tl 0.8437 0.1563 0.7500
Ag 0.3418 0.6582 0.2500
Ag 0.6582 0.3418 0.7500

=====

[10]
Material: Ho3TlAg
Method: DFT, GGA-PBE
State: optimized geometry

Results
Offset from the most stable computed form ... 143 meV per atom
Space group ... No. 15

abc: 6.6434 6.6434 14.9809
angles: 96.32 96.32 57.49
Element x y z (fractional)
Ho 0.0203 0.3230 0.7959
Ho 0.0566 0.8174 0.9017
Ho 0.1683 0.4548 0.5960
Ho 0.1826 0.9434 0.5983
Ho 0.3230 0.0203 0.2959
Ho 0.4548 0.1683 0.0960
Ho 0.5452 0.8317 0.9040
Ho 0.6770 0.9797 0.7041
Ho 0.8174 0.0566 0.4017
Ho 0.8317 0.5452 0.4040
Ho 0.9434 0.1826 0.0983
Ho 0.9797 0.6770 0.2041
Tl 0.3053 0.5679 0.3963
Tl 0.4321 0.6947 0.1037
Tl 0.5679 0.3053 0.8963
Tl 0.6947 0.4321 0.6037
Ag 0.0000 0.5000 0.0000
Ag 0.3543 0.6457 0.7500
Ag 0.5000 0.0000 0.5000
Ag 0.6457 0.3543 0.2500

=====

[11]
Material: Ho4TlAg
Method: DFT, GGA-PBE
State: optimized geometry

Results
Space group ... No. 123

abc: 5.0205 5.0205 7.3601
angles: 90.00 90.00 90.00
Element x y z (fractional)
Ho 0.0000 0.5000 0.2376
Ho 0.0000 0.5000 0.7624
Ho 0.5000 0.0000 0.2376
Ho 0.5000 0.0000 0.7624
Tl 0.0000 0.0000 0.5000
Ag 0.5000 0.5000 0.0000

=====

[12]
Material: Ho3Tl2Ag
Method: DFT, GGA-PBE
State: optimized geometry

Results
Offset from the most stable computed form ... 9 meV per atom
Space group ... No. 164

abc: 5.2722 5.2722 12.9682
angles: 90.00 90.00 120.00
Element x y z (fractional)
Ho 0.0000 0.0000 0.2453
Ho 0.0000 0.0000 0.7547
Ho 0.3333 0.6667 0.4119
Ho 0.3333 0.6667 0.9180
Ho 0.6667 0.3333 0.0820
Ho 0.6667 0.3333 0.5881
Tl 0.0000 0.0000 0.0000
Tl 0.0000 0.0000 0.5000
Tl 0.3333 0.6667 0.6730
Tl 0.6667 0.3333 0.3270
Ag 0.3333 0.6667 0.1683
Ag 0.6667 0.3333 0.8317

=====

Calculated values (kJ/mol of formula units) of ΔE_f for the records, taken in order: 702.4, -115.3, -220.3, -244.1, -109.2, -226.1, -5.6, -1.1, -116.7, -47.8, 4.5, -187.4.
Calculated values (states/eV/atom) of DOS(E_F) for the records, taken in order: 0.65, 1.00, 0.63, 0.61, 0.74, 0.98, 0.69, 1.13, 1.10, 1.06, 1.10, 0.87.